[1]
NaAc2GaO5 | PBE | optimized geometry Values from VASP.

Summary:
ΔE_f (raw) (eV per atom): -2.4573
Space-group type: P4/mbm, No. 127
Fermi-level density of states (states/eV per cell): 0.00

```
&SYSTEM
  ibrav = 0, nat = 18, ntyp = 4
/
ATOMIC_SPECIES
Na 22.99 Na.upf
Ac 227.00 Ac.upf
Ga 69.72 Ga.upf
O 16.00 O.upf
ATOMIC_POSITIONS angstrom
Na 0.0000 3.5685 3.5685
Na 0.0000 0.0000 0.0000
Ac 2.9591 4.8655 1.2970
Ac 2.9591 1.2970 2.2716
Ac 2.9591 5.8401 4.8655
Ac 2.9591 2.2716 5.8401
Ga 0.0000 0.0000 3.5685
Ga 0.0000 3.5685 0.0000
O 2.9591 3.5685 3.5685
O 2.9591 0.0000 0.0000
O 1.3823 0.9317 4.5002
O 1.3823 6.2054 2.6369
O 1.3823 2.6369 0.9317
O 1.3823 4.5002 6.2054
O 4.5359 0.9317 4.5002
O 4.5359 4.5002 6.2054
O 4.5359 6.2054 2.6369
O 4.5359 2.6369 0.9317
CELL_PARAMETERS angstrom
5.9182 0.0000 0.0000
0.0000 7.1371 0.0000
0.0000 0.0000 7.1371
```

[2]
Na3Ac3GaO8 | PBE | optimized geometry Values from VASP.

Summary:
ΔE_f (raw) (eV per atom): -2.2092
Space-group type: R-3m, No. 166
Fermi-level density of states (states/eV per cell): 12.58

```
&SYSTEM
  ibrav = 0, nat = 15, ntyp = 4
/
ATOMIC_SPECIES
Na 22.99 Na.upf
Ac 227.00 Ac.upf
Ga 69.72 Ga.upf
O 16.00 O.upf
ATOMIC_POSITIONS angstrom
Na 0.0000 0.0000 0.0000
Na -1.8171 3.1464 -0.0117
Na 1.8171 3.1464 -0.0117
Ac 3.6342 -2.0887 2.8136
Ac 1.8171 1.0577 2.8018
Ac -1.8171 1.0577 2.8018
Ga 0.0000 -2.0887 2.8135
O 0.0001 2.1015 1.5318
O 3.6341 0.0139 4.0719
O 3.6342 2.4049 1.6620
O 0.0000 -0.2895 3.9417
O 5.7100 -1.1935 1.6734
O -2.0758 3.3089 3.9303
O 1.5584 -1.1935 1.6734
O 2.0758 3.3089 3.9303
CELL_PARAMETERS angstrom
7.2684 0.0000 0.0001
-3.6342 6.2928 -0.0234
0.0001 -4.1774 5.6270
```

[3]
NaAcPmGa | PBE | optimized geometry Values from VASP.

Summary:
Calculated formation energy (eV per atom): -0.110
Space-group type: F-43m, No. 216
Fermi-level density of states (states/eV per cell): 4.65

```
&SYSTEM
  ibrav = 0, nat = 4, ntyp = 4
/
ATOMIC_SPECIES
Na 22.99 Na.upf
Ac 227.00 Ac.upf
Ga 69.72 Ga.upf
Pm 145.00 Pm.upf
ATOMIC_POSITIONS angstrom
Na 0.0000 0.0000 0.0000
Ac 2.7704 1.5995 1.1310
Ga 5.5408 3.1990 2.2620
Pm 8.3113 4.7985 3.3931
CELL_PARAMETERS angstrom
5.5408 0.0000 0.0000
2.7704 4.7985 0.0000
2.7704 1.5995 4.5241
```

[4]
NaAc2Ga3Pt4 | PBE | optimized geometry Values from VASP.

Summary:
Calculated formation energy (eV per atom): -0.845
Space-group type: P-4m2, No. 115
Fermi-level density of states (states/eV per cell): 6.88

```
&SYSTEM
  ibrav = 0, nat = 10, ntyp = 4
/
ATOMIC_SPECIES
Na 22.99 Na.upf
Ac 227.00 Ac.upf
Ga 69.72 Ga.upf
Pt 195.08 Pt.upf
ATOMIC_POSITIONS angstrom
Na 2.1697 2.1697 5.6734
Ac 2.1697 0.0000 2.7557
Ac 0.0000 2.1697 8.5911
Ga 0.0000 0.0000 5.6734
Ga 2.1697 0.0000 9.9979
Ga 0.0000 2.1697 1.3489
Pt 2.1697 2.1697 0.0000
Pt 0.0000 0.0000 0.0000
Pt 2.1697 0.0000 7.4292
Pt 0.0000 2.1697 3.9176
CELL_PARAMETERS angstrom
4.3395 0.0000 0.0000
0.0000 4.3395 0.0000
0.0000 0.0000 11.3468
```

[5]
NaAcGa2Pt2 | PBE | optimized geometry Values from VASP.

Summary:
Calculated formation energy (eV per atom): -0.750
Space-group type: P-3m1, No. 164
Fermi-level density of states (states/eV per cell): 3.53

```
&SYSTEM
  ibrav = 0, nat = 6, ntyp = 4
/
ATOMIC_SPECIES
Na 22.99 Na.upf
Ac 227.00 Ac.upf
Ga 69.72 Ga.upf
Pt 195.08 Pt.upf
ATOMIC_POSITIONS angstrom
Na 0.0000 0.0000 3.5529
Ac 0.0000 0.0000 0.0000
Ga 2.2690 1.3100 4.7935
Ga 0.0000 2.6200 2.3123
Pt 2.2690 1.3100 2.0348
Pt 0.0000 2.6200 5.0710
CELL_PARAMETERS angstrom
4.5380 0.0000 0.0000
-2.2690 3.9300 0.0000
0.0000 0.0000 7.1058
```

[6]
Na3Ac3GaS8 | PBE | optimized geometry Values from VASP.

Summary:
ΔE_f (raw) (eV per atom): -1.3994
Space-group type: R-3m, No. 166
Fermi-level density of states (states/eV per cell): 19.44

```
&SYSTEM
  ibrav = 0, nat = 15, ntyp = 4
/
ATOMIC_SPECIES
Na 22.99 Na.upf
Ac 227.00 Ac.upf
Ga 69.72 Ga.upf
S 32.06 S.upf
ATOMIC_POSITIONS angstrom
Na 0.0000 0.0000 0.0000
Na 2.8232 0.8544 3.0754
Na -0.4030 -1.8264 3.8288
Ac -5.8988 0.1725 -0.5379
Ac -3.0757 1.0269 2.5375
Ac 0.1505 3.7077 1.7841
Ga -2.6727 2.8533 -1.2913
S -0.1482 0.9703 2.8179
S -6.0031 1.0836 2.2570
S -3.3619 -1.6231 3.9358
S -2.7895 3.6770 1.1392
S -0.9159 -0.8843 6.5952
S -5.2354 2.9382 -1.5203
S 2.7413 2.1548 5.7411
S -8.8926 -0.1009 -0.6662
CELL_PARAMETERS angstrom
-6.4523 -5.3616 1.5068
5.6463 1.7089 6.1508
-5.3454 5.7066 -2.5827
```

[7]
Na2AcGaSb2 | PBE | optimized geometry Values from VASP.

Summary:
ΔE_f (raw) (eV per atom): -0.5367
Space-group type: Pmc2_1, No. 26
Fermi-level density of states (states/eV per cell): 2.28

```
&SYSTEM
  ibrav = 0, nat = 12, ntyp = 4
/
ATOMIC_SPECIES
Na 22.99 Na.upf
Ac 227.00 Ac.upf
Ga 69.72 Ga.upf
Sb 121.76 Sb.upf
ATOMIC_POSITIONS angstrom
Na -2.0513 0.7857 1.1888
Na -0.1100 -2.0844 2.6416
Na -0.6994 0.3923 9.7568
Na 0.9800 -2.9143 10.3590
Ac 1.1504 1.8835 3.7911
Ac 0.6204 -1.6470 6.2457
Ga -0.7751 2.2761 6.3393
Ga -2.2829 -2.8843 5.6176
Sb 1.6664 1.4495 7.5091
Sb -1.7131 0.0953 4.2663
Sb -0.5201 -4.8424 4.5824
Sb -1.6429 -2.4347 8.6706
CELL_PARAMETERS angstrom
-4.4768 1.2015 0.7616
-1.2774 -7.4235 4.2027
2.4261 4.0442 7.8812
```

[8]
Na3Ac3GaSe8 | PBE | optimized geometry Values from VASP.

Summary:
ΔE_f (raw) (eV per atom): -1.3332
Space-group type: R-3m, No. 166
Fermi-level density of states (states/eV per cell): 18.52

```
&SYSTEM
  ibrav = 0, nat = 15, ntyp = 4
/
ATOMIC_SPECIES
Na 22.99 Na.upf
Ac 227.00 Ac.upf
Ga 69.72 Ga.upf
Se 78.96 Se.upf
ATOMIC_POSITIONS angstrom
Na 0.0000 0.0000 0.0000
Na -3.7639 -2.1986 -0.7977
Na -3.8137 2.2176 -0.4182
Ac 1.9337 4.1129 4.1698
Ac -1.8303 1.9143 3.3721
Ac -1.7805 -2.5019 2.9927
Ga 1.9835 -0.3033 3.7904
Se -2.7970 -0.1430 1.2977
Se -0.8635 3.9717 5.4465
Se -3.1957 4.2589 1.7972
Se -0.4648 -0.4303 4.9471
Se -6.4857 2.3324 1.0943
Se 2.8252 1.4962 5.6500
Se -6.4297 -2.6295 0.6679
Se 2.7692 6.4581 6.0763
CELL_PARAMETERS angstrom
-0.0996 8.8324 0.7589
-7.5279 -4.3972 -1.5954
3.9670 -0.6066 7.5808
```

[9]
Na4Ac3GaSe8 | PBE | optimized geometry Values from VASP.

Summary:
ΔE_f (raw) (eV per atom): -1.4073
Space-group type: C2/m, No. 12

```
&SYSTEM
  ibrav = 0, nat = 16, ntyp = 4
/
ATOMIC_SPECIES
Na 22.99 Na.upf
Ac 227.00 Ac.upf
Ga 69.72 Ga.upf
Se 78.96 Se.upf
ATOMIC_POSITIONS angstrom
Na -1.0355 -1.9758 3.7495
Na 1.5232 1.6135 3.8092
Na 0.0000 0.0000 0.0000
Na 2.5587 3.5893 0.0598
Ac 0.4880 -5.7253 2.1944
Ac 3.0467 -2.1360 2.2542
Ac 4.0822 -0.1602 -1.4953
Ga 1.5235 -3.7495 -1.5551
Se 1.7493 -6.2158 -0.6466
Se 4.5158 -2.9716 -0.3188
Se 2.8365 0.7444 1.1757
Se 0.5537 -8.4972 3.6827
Se 5.5397 4.2253 0.8256
Se 3.2569 -5.0164 3.3327
Se 1.5775 -1.3003 4.8271
Se 4.3440 1.9439 5.1550
CELL_PARAMETERS angstrom
-2.0710 -3.9517 7.4990
3.0470 -7.4989 -3.1101
5.1174 7.1786 0.1195
```

[10]
NaAcGaSi | PBE | optimized geometry Values from VASP.

Summary:
ΔE_f (raw) (eV per atom): -0.1520
Space-group type: F-43m, No. 216
Fermi-level density of states (states/eV per cell): 2.57

```
&SYSTEM
  ibrav = 0, nat = 4, ntyp = 4
/
ATOMIC_SPECIES
Na 22.99 Na.upf
Ac 227.00 Ac.upf
Si 28.09 Si.upf
Ga 69.72 Ga.upf
ATOMIC_POSITIONS angstrom
Na 2.6387 1.5234 1.0772
Ac 7.9160 4.5703 3.2317
Si 0.0000 0.0000 0.0000
Ga 5.2773 3.0469 2.1545
CELL_PARAMETERS angstrom
5.2773 0.0000 0.0000
2.6387 4.5703 0.0000
2.6387 1.5234 4.3089
```

[11]
NaAcSmGa | PBE | optimized geometry Values from VASP.

Summary:
Calculated formation energy (eV per atom): -0.105
Space-group type: F-43m, No. 216
Fermi-level density of states (states/eV per cell): 4.54

```
&SYSTEM
  ibrav = 0, nat = 4, ntyp = 4
/
ATOMIC_SPECIES
Na 22.99 Na.upf
Ac 227.00 Ac.upf
Ga 69.72 Ga.upf
Sm 150.36 Sm.upf
ATOMIC_POSITIONS angstrom
Na -1.0948 -0.9500 -3.0608
Ac -2.1896 -1.9000 -6.1215
Ga -3.2844 -2.8500 -9.1823
Sm 0.0000 0.0000 0.0000
CELL_PARAMETERS angstrom
-0.1591 1.3541 -5.3597
0.2519 -3.9530 -3.8595
-4.4719 -1.2011 -3.0239
```

Sequential M_tot output: 0.00, 0.81, 0.00, 0.00, 0.00, 0.78, 0.00, 0.00, 0.00, 0.00, 0.00 Bohr magnetons per cell